! Er2AlGa4Ni3 PBE relaxed; values from VASP
&SYSTEM
  ibrav = 0, nat = 10, ntyp = 4
/
ATOMIC_SPECIES
Er 167.26 Er.upf
Al 26.98 Al.upf
Ga 69.72 Ga.upf
Ni 58.69 Ni.upf
CELL_PARAMETERS angstrom
3.9823 0.0000 0.0000
0.0000 3.9823 0.0000
0.0000 0.0000 10.5458
ATOMIC_POSITIONS angstrom
Er 0.0000 1.9912 2.5182
Er 1.9912 0.0000 8.0276
Al 0.0000 0.0000 5.2729
Ga 0.0000 0.0000 0.0000
Ga 0.0000 1.9912 6.8206
Ga 1.9912 0.0000 3.7252
Ga 1.9912 1.9912 0.0000
Ni 0.0000 1.9912 9.1557
Ni 1.9912 0.0000 1.3901
Ni 1.9912 1.9912 5.2729
! Formation energy from the elements: -0.572 eV/atom
! E_tot: -4.8038 eV per atom
! D(E_F): 5.94 states/eV/f.u.
! V: 167 Å³ per cell

! MnNiCl4 PBE relaxed; values from VASP
&SYSTEM
  ibrav = 0, nat = 6, ntyp = 3
/
ATOMIC_SPECIES
Mn 54.94 Mn.upf
Ni 58.69 Ni.upf
Cl 35.45 Cl.upf
CELL_PARAMETERS angstrom
0.0000 4.0915 4.0915
4.0915 0.0000 4.0915
4.0915 4.0915 0.0000
ATOMIC_POSITIONS angstrom
Mn 0.0000 0.0000 0.0000
Ni 6.1373 6.1373 6.1373
Cl 3.0683 3.0683 3.0683
Cl 5.1147 5.1147 3.0683
Cl 5.1147 3.0683 5.1147
Cl 3.0683 5.1147 5.1147
! E_tot: -2.7673 eV per atom
! D(E_F): 9.22 states/eV/f.u.
! V: 137 Å³ per cell
! Formation energy without anion corrections: 0.9556 eV/atom

! Np3Tl4SnTe8 PBE relaxed; values from VASP
&SYSTEM
  ibrav = 0, nat = 16, ntyp = 4
/
ATOMIC_SPECIES
Np 237.00 Np.upf
Tl 204.38 Tl.upf
Sn 118.71 Sn.upf
Te 127.60 Te.upf
CELL_PARAMETERS angstrom
4.5414 2.6220 8.0540
-4.5414 2.6220 8.0540
0.0000 -5.2440 8.0540
ATOMIC_POSITIONS angstrom
Np -2.2707 -1.3110 8.0540
Np -2.2707 1.3110 16.1080
Np 0.0000 2.6220 8.0540
Tl -4.5414 0.0000 12.0810
Tl -2.2707 1.3110 4.0270
Tl 2.2707 1.3110 4.0270
Tl 0.0000 0.0000 12.0810
Sn 0.0000 0.0000 0.0000
Te 0.0000 -2.5589 9.7690
Te -2.2161 1.2795 9.7690
Te 0.0000 0.0000 6.3390
Te -2.2161 -1.2795 14.3930
Te 2.2161 1.2795 9.7690
Te 0.0000 0.0000 17.8230
Te 2.2161 -1.2795 14.3929
Te 0.0000 2.5589 14.3929
! E_tot: -5.3467 eV per atom
! D(E_F): 27.15 states/eV/f.u.
! V: 575 Å³ per cell
! Formation energy without anion corrections: -0.5077 eV/atom

! DyLuAlTc PBE relaxed; values from VASP
&SYSTEM
  ibrav = 0, nat = 16, ntyp = 4
/
ATOMIC_SPECIES
Dy 162.50 Dy.upf
Lu 174.97 Lu.upf
Al 26.98 Al.upf
Tc 98.00 Tc.upf
CELL_PARAMETERS angstrom
6.9594 0.0000 0.0000
0.0000 6.9594 0.0000
0.0000 0.0000 6.9594
ATOMIC_POSITIONS angstrom
Dy 0.0000 0.0000 0.0000
Dy 0.0000 3.4797 3.4797
Dy 3.4797 0.0000 3.4797
Dy 3.4797 3.4797 0.0000
Lu 0.0000 0.0000 3.4797
Lu 0.0000 3.4797 0.0000
Lu 3.4797 0.0000 0.0000
Lu 3.4797 3.4797 3.4797
Al 1.7398 1.7398 1.7398
Al 1.7398 5.2195 5.2195
Al 5.2195 1.7398 5.2195
Al 5.2195 5.2195 1.7398
Tc 1.7398 1.7398 5.2195
Tc 1.7398 5.2195 1.7398
Tc 5.2195 1.7398 1.7398
Tc 5.2195 5.2195 5.2195
! Formation energy from the elements: -0.194 eV/atom
! E_tot: -6.0015 eV per atom
! D(E_F): 3.04 states/eV/f.u.
! V: 337 Å³ per cell

! CdS3Br3 PBE relaxed; values from VASP
&SYSTEM
  ibrav = 0, nat = 14, ntyp = 3
/
ATOMIC_SPECIES
Cd 112.41 Cd.upf
S 32.06 S.upf
Br 79.90 Br.upf
CELL_PARAMETERS angstrom
8.6965 0.0000 0.0000
4.3476 7.5341 0.0000
4.3389 2.5174 7.6276
ATOMIC_POSITIONS angstrom
Cd 4.3453 2.5124 1.9515
Cd 13.0376 7.5390 5.6761
S 7.7096 5.7343 5.3670
S 7.5901 4.5295 2.2601
S 8.5677 3.8235 5.3679
S 8.8152 6.2279 2.2597
S 9.7929 5.5220 5.3675
S 9.6733 4.3171 2.2606
Br 3.8117 5.0059 1.8395
Br 2.4533 0.8029 1.8405
Br 10.6113 8.3228 5.7879
Br 6.7716 1.7286 1.8397
Br 14.9296 9.2486 5.7871
Br 13.5713 5.0455 5.7881
! E_tot: -2.7475 eV per atom
! V: 500 Å³ per cell
! Formation energy without anion corrections: -0.1310 eV/atom

! HfTi2Fe PBE relaxed; values from VASP
&SYSTEM
  ibrav = 0, nat = 16, ntyp = 3
/
ATOMIC_SPECIES
Hf 178.49 Hf.upf
Ti 47.87 Ti.upf
Fe 55.84 Fe.upf
CELL_PARAMETERS angstrom
7.1222 0.0000 0.0000
0.0000 7.1222 0.0000
0.0000 0.0000 5.4310
ATOMIC_POSITIONS angstrom
Hf 0.0000 0.0000 0.0000
Hf 0.0000 3.5611 1.3577
Hf 3.5611 0.0000 4.0732
Hf 3.5611 3.5611 2.7155
Ti 1.3425 1.7806 3.3943
Ti 1.7806 4.9036 4.7521
Ti 1.7806 5.7797 2.0366
Ti 2.2186 1.7806 0.6789
Ti 4.9036 5.3417 0.6789
Ti 5.3417 1.3425 2.0366
Ti 5.3417 2.2186 4.7521
Ti 5.7797 5.3417 3.3943
Fe 0.0000 0.0000 2.7155
Fe 0.0000 3.5611 4.0732
Fe 3.5611 0.0000 1.3577
Fe 3.5611 3.5611 0.0000
! Formation energy from the elements: 0.125 eV/atom
! E_tot: -8.4268 eV per atom
! D(E_F): 2.82 states/eV/f.u.
! V: 275 Å³ per cell
! Energy above the most stable polymorph in this dataset: 255.2 meV/atom

! RbNa2CrS4 PBE relaxed; values from VASP
&SYSTEM
  ibrav = 0, nat = 16, ntyp = 4
/
ATOMIC_SPECIES
Rb 85.47 Rb.upf
Na 22.99 Na.upf
Cr 52.00 Cr.upf
S 32.06 S.upf
CELL_PARAMETERS angstrom
7.1398 0.0000 0.0000
0.0000 7.1398 0.0000
0.0000 0.0000 8.5474
ATOMIC_POSITIONS angstrom
Rb 0.0000 0.0000 0.0000
Rb 3.5699 3.5699 4.2737
Na 0.0000 3.5699 2.1369
Na 0.0000 3.5699 6.4106
Na 3.5699 0.0000 2.1369
Na 3.5699 0.0000 6.4106
Cr 0.0000 0.0000 4.2737
Cr 3.5699 3.5699 0.0000
S 1.2428 1.2428 3.0602
S 1.2428 5.8970 5.4872
S 2.3271 2.3271 7.3339
S 2.3271 4.8127 1.2135
S 4.8127 2.3271 1.2135
S 4.8127 4.8127 7.3339
S 5.8970 1.2428 5.4872
S 5.8970 5.8970 3.0602
! E_tot: -4.6006 eV per atom
! D(E_F): 4.41 states/eV/f.u.
! V: 436 Å³ per cell
! Formation energy without anion corrections: -0.8833 eV/atom

! KNa2ClO PBE relaxed; values from VASP
&SYSTEM
  ibrav = 0, nat = 10, ntyp = 4
/
ATOMIC_SPECIES
K 39.10 K.upf
Na 22.99 Na.upf
Cl 35.45 Cl.upf
O 16.00 O.upf
CELL_PARAMETERS angstrom
6.3093 0.0000 0.0000
0.0000 4.2412 0.0000
-0.3682 0.0000 8.9932
ATOMIC_POSITIONS angstrom
K 0.4611 1.0603 3.2161
K 5.4800 3.1809 5.7772
Na 2.2356 3.1809 7.5435
Na 2.6472 1.0603 5.3655
Na 3.2939 3.1809 3.6277
Na 3.7055 1.0603 1.4497
Cl 1.8682 3.1809 1.1749
Cl 4.0729 1.0603 7.8184
O 1.6902 3.1809 5.3472
O 4.2509 1.0603 3.6460
! E_tot: -3.4943 eV per atom
! V: 241 Å³ per cell
! Energy above the most stable polymorph in this dataset: 36.4 meV/atom
! Formation energy without anion corrections: -1.3862 eV/atom